Entry 1:
Here is HfBe6Ni6 after structural relaxation from Alexandria via LeMat-Bulk. Energies are from PBE-GGA.

Structure (POSCAR):
```
HfBe6Ni6
1.0
4.1165 0.0000 1.6454
2.0406 5.4101 0.8670
0.0505 -0.0818 5.8460
Hf Be Ni
1 6 6
Direct
0.0000 0.0000 0.0000
0.0000 0.5000 0.0000
0.5000 0.5000 0.0000
0.0000 0.0000 0.5000
0.5000 0.0000 0.5000
0.5000 0.7650 0.2350
0.5000 0.2350 0.7650
0.3455 0.6545 0.6545
0.6545 0.3455 0.3455
0.0000 0.3458 0.6542
0.0000 0.6542 0.3458
0.3067 0.1933 0.1933
0.6933 0.8067 0.8067
```

Results
symmetry = Immm
D(E_F) = 0.5463 states/eV per atom
electronic total energy = -5.57 eV per atom
formation enthalpy at 0 K = -0.4131 eV per atom

=====

Entry 2:
Here is Ho2Sc8Al after structural relaxation from Alexandria via LeMat-Bulk. Energies are from PBE-GGA.

Structure (POSCAR):
```
Ho2Sc8Al
1.0
5.4413 1.1415 0.7973
2.3033 9.1260 2.7024
2.3033 5.6779 7.6385
Ho Sc Al
2 8 1
Direct
0.9308 0.2833 0.2833
0.0692 0.7167 0.7167
0.3212 0.0930 0.6049
0.3212 0.6049 0.0930
0.6788 0.9070 0.3951
0.2188 0.5209 0.5209
0.6788 0.3951 0.9070
0.3000 0.0891 0.0891
0.7000 0.9109 0.9109
0.7812 0.4791 0.4791
0.0000 0.0000 0.0000
```

Results
symmetry = C2/m
D(E_F) = 1.5498 states/eV per atom
electronic total energy = -5.73 eV per atom
formation enthalpy at 0 K = 0.0519 eV per atom

=====

Entry 3:
Here is Er4HfZr3N8 after structural relaxation from Alexandria via LeMat-Bulk. Energies are from PBE-GGA.

Structure (POSCAR):
```
Er4HfZr3N8
1.0
6.6288 0.0000 0.0000
0.0000 6.6749 0.0275
-3.3144 -3.3111 4.6901
Er Hf Zr N
4 1 3 8
Direct
0.5000 0.0000 0.0000
0.5000 0.0000 0.5000
0.0000 0.0000 0.0000
0.0000 0.0000 0.5000
0.0000 0.5000 0.0000
0.5000 0.5000 0.0000
0.5000 0.5000 0.5000
0.0000 0.5000 0.5000
0.2427 0.7349 0.9922
0.2427 0.7349 0.4855
0.2540 0.2619 0.5080
0.7495 0.7349 0.9922
0.2505 0.2651 0.0078
0.7460 0.7381 0.4920
0.7573 0.2651 0.5145
0.7573 0.2651 0.0078
```

Results
symmetry = R-3m
D(E_F) = 0.3859 states/eV per atom
formation energy from raw total energies = -1.78 eV per atom
electronic total energy = -9.31 eV per atom

=====

Entry 4:
Here is ZrScZn2Pb after structural relaxation from Alexandria via LeMat-Bulk. Energies are from PBE-GGA.

Structure (POSCAR):
```
ZrScZn2Pb
1.0
4.9250 0.0000 0.0000
0.0000 5.3006 0.0000
0.0000 0.0000 4.9250
Pb Sc Zn Zr
1 1 2 1
Direct
0.0000 0.5000 0.0000
0.0000 0.0000 0.0000
0.0000 0.0000 0.5000
0.5000 0.0000 0.0000
0.5000 0.5000 0.5000
```

Results
symmetry = P4/mmm
D(E_F) = 1.3391 states/eV per atom
electronic total energy = -3.47 eV per atom
formation enthalpy at 0 K = 0.7566 eV per atom

=====

Entry 5:
Here is Na3CdPt after structural relaxation from Alexandria via LeMat-Bulk. Energies are from PBE-GGA.

Structure (POSCAR):
```
Na3CdPt
1.0
-1.4760 5.6727 -4.9902
-6.3057 1.8758 3.9975
4.1617 4.8541 4.2870
Na Cd Pt
12 4 4
Direct
0.1310 0.1921 0.4609
0.3690 0.8079 0.9609
0.8690 0.6921 0.0391
0.4609 0.1310 0.1921
0.6310 0.3079 0.5391
0.9609 0.3690 0.8079
0.0391 0.8690 0.6921
0.5391 0.6310 0.3079
0.1921 0.4609 0.1310
0.6921 0.0391 0.8690
0.3079 0.5391 0.6310
0.8079 0.9609 0.3690
0.0713 0.0713 0.0713
0.4287 0.9287 0.5713
0.9287 0.5713 0.4287
0.5713 0.4287 0.9287
0.6816 0.6816 0.6816
0.8184 0.3184 0.1816
0.3184 0.1816 0.8184
0.1816 0.8184 0.3184
```

Results
symmetry = P2_13
E above lowest polymorph = 0 meV/atom
D(E_F) = 0.2600 states/eV per atom
electronic total energy = -2.37 eV per atom
formation enthalpy at 0 K = -0.1884 eV per atom

=====

Entry 6:
Here is SrTbBS4 after structural relaxation from Alexandria via LeMat-Bulk. Energies are from PBE-GGA.

Structure (POSCAR):
```
SrTbBS4
1.0
6.1715 0.0000 0.0094
0.0000 6.3076 0.0000
-2.4072 0.0000 7.6387
Sr Tb B S
2 2 2 8
Direct
0.7187 0.7500 0.9284
0.2813 0.2500 0.0716
0.7721 0.7500 0.4477
0.2279 0.2500 0.5523
0.2170 0.7500 0.3099
0.7830 0.2500 0.6901
0.9836 0.4910 0.7366
0.0164 0.9910 0.2634
0.0164 0.5090 0.2634
0.9836 0.0090 0.7366
0.4063 0.7500 0.1518
0.5937 0.2500 0.8482
0.3897 0.7500 0.5579
0.6103 0.2500 0.4421
```

Results
symmetry = P2_1/m
D(E_F) = 0.0000 states/eV per atom
formation energy from raw total energies = -1.51 eV per atom
electronic total energy = -5.73 eV per atom